Entry 1:
Computed, not measured: Tb2HoCd after structural relaxation at the PBE level of DFT.

Results
- Calculated volume: 29.68 Å³/atom
- ΔE to the lowest computed polymorph: 105 meV per atom
- E_form: -15 kJ/mol of formula units

Cell: 3.545 3.545 11.098 Å, 80.81 80.81 60.00°
Fractional positions:
Tb  0.087  0.087  0.738
Tb  0.246  0.246  0.263
Ho  0.667  0.667  0.999
Cd  0.500  0.500  0.500


Entry 2:
Computed, not measured: RbP2H6Se2 after structural relaxation at the PBE level of DFT.

Results
- Calculated volume: 20.00 Å³/atom
- Total energy: -3.68 eV/atom

Cell: 5.242 7.782 8.089 Å, 131.70 81.46 77.36°
Fractional positions:
Rb  0.500  0.000  0.500
P  0.116  0.885  0.805
P  0.884  0.115  0.195
H  0.557  0.590  0.806
H  0.992  0.303  0.280
H  0.892  0.030  0.807
H  0.008  0.697  0.720
H  0.108  0.970  0.193
H  0.443  0.410  0.194
Se  0.752  0.482  0.861
Se  0.248  0.518  0.139


Entry 3:
Computed, not measured: PmPrDy2Ho2 after structural relaxation at the PBE level of DFT.

Results
- Calculated volume: 33.42 Å³/atom
- E_form: 161 kJ/mol of formula units

Cell: 3.401 6.620 17.814 Å, 90.00 90.00 90.00°
Fractional positions:
Pm  0.500  0.500  0.000
Pm  0.000  0.000  0.500
Pr  0.000  0.000  0.000
Pr  0.500  0.500  0.500
Dy  0.500  0.776  0.349
Dy  0.500  0.224  0.651
Dy  0.000  0.724  0.849
Dy  0.000  0.276  0.151
Ho  0.500  0.273  0.317
Ho  0.000  0.773  0.183
Ho  0.500  0.727  0.683
Ho  0.000  0.227  0.817